No. 1
Density functional theory data (PBE) for Ba2YTl2 after structural relaxation.

Computed properties:
spin magnetization	0.3	μB/f.u.
V	38.59	A^3/atom
calculated total energy	-3.01	eV/atom
mass density	6.65	g cm⁻³

abc: 10.088 10.088 3.792
angles: 90.00 90.00 90.00
Site moments in Bohr magnetons follow the coordinates.
Atoms (fractional coordinates):
Tl 0.331 0.169 0.500  0.00
Tl 0.169 0.669 0.500  0.00
Tl 0.831 0.331 0.500  0.00
Tl 0.669 0.831 0.500  0.00
Y 0.500 0.500 0.000  0.19
Y 0.000 0.000 0.000  0.19
Ba 0.630 0.130 0.000  0.00
Ba 0.870 0.630 0.000  0.00
Ba 0.370 0.870 0.000  0.00
Ba 0.130 0.370 0.000  0.00

***

No. 2
Density functional theory data (PBE) for CsRb2CdHg after structural relaxation.

Computed properties:
spin magnetization	0.0	μB/f.u.
V	60.76	A^3/atom
calculated total energy	-0.83	eV/atom
mass density	3.37	g cm⁻³

abc: 7.048 7.048 6.116
angles: 90.00 90.00 90.00
Atoms (fractional coordinates):
Hg 0.000 0.000 0.000
Rb 0.000 0.500 0.000
Rb 0.500 0.000 0.000
Cd 0.000 0.000 0.500
Cs 0.500 0.500 0.500

***

No. 3
Density functional theory data (PBE) for Pm6ZnPd after structural relaxation.

Computed properties:
spin magnetization	0.0	μB/f.u.
V	29.24	A^3/atom
calculated total energy	-4.60	eV/atom
mass density	7.40	g cm⁻³

abc: 9.517 9.517 9.517
angles: 148.55 148.55 45.08
Atoms (fractional coordinates):
Zn 0.500 0.500 0.000
Pm 0.747 0.747 0.000
Pm 0.602 0.102 0.500
Pm 0.102 0.602 0.500
Pm 0.398 0.898 0.500
Pm 0.898 0.398 0.500
Pm 0.253 0.253 0.000
Pd 0.000 0.000 0.000

***

No. 4
Density functional theory data (PBE) for CePb5 after structural relaxation.

Computed properties:
spin magnetization	1.0	μB/f.u.
V	30.64	A^3/atom
calculated total energy	-4.23	eV/atom
mass density	10.62	g cm⁻³

abc: 4.715 4.906 8.317
angles: 107.15 90.00 90.00
Site moments in Bohr magnetons follow the coordinates.
Atoms (fractional coordinates):
Ce 0.000 0.000 0.000  0.89
Pb 0.000 0.658 0.316  0.01
Pb 0.500 0.830 0.659  0.00
Pb 0.500 0.500 0.000  0.00
Pb 0.000 0.342 0.684  0.01
Pb 0.500 0.170 0.341  0.00